TiHgPbBr6: optimized geometry, GGA-PBE.

## Properties
Formation energy from raw total energies   -921 meV/atom
Final energy   -3.359 eV/atom
Magnetic moment   0.000 μB/atom

abc: 7.2879 7.2884 8.5448
angles: 90.01 89.99 59.99
Closest atoms and distances in Å follow each position.
Positions (direct):
1 Br 0.0502 0.6128 0.6756  1 Ti 2.54
2 Br 0.0504 0.3370 0.3243  1 Ti 2.54
3 Br 0.6127 0.0502 0.3244  1 Ti 2.54
4 Br 0.3369 0.0504 0.6757  1 Ti 2.54
5 Br 0.6128 0.3370 0.6756  1 Ti 2.54
6 Br 0.3370 0.6127 0.3244  1 Ti 2.54
7 Pb 0.6665 0.6666 0.5000  6 Br 3.02
8 Ti 0.3333 0.3333 0.5000  6 Br 2.54
9 Hg 0.9999 0.0000 0.0000  6 Br 3.84